# Tl2Cr2AsO6 GGA+U relaxed
data_Tl2Cr2AsO6
_symmetry_space_group_name_H-M 'P 1'
_symmetry_Int_Tables_number 1
_cell_length_a 5.176
_cell_length_b 5.176
_cell_length_c 7.413
_cell_angle_alpha 90.90
_cell_angle_beta 90.90
_cell_angle_gamma 120.29
loop_
_symmetry_equiv_pos_as_xyz
'x,y,z'
loop_
_atom_site_label
_atom_site_fract_x
_atom_site_fract_y
_atom_site_fract_z
_atom_site_occupancy
Tl1 0.835 0.165 0.000 1
Tl2 0.165 0.835 0.000 1
Cr1 0.334 0.666 0.500 1
Cr2 0.666 0.334 0.500 1
As1 0.000 0.000 0.500 1
O1 0.695 0.695 0.633 1
O2 0.005 0.319 0.634 1
O3 0.305 0.305 0.367 1
O4 0.319 0.005 0.634 1
O5 0.995 0.681 0.366 1
O6 0.681 0.995 0.366 1
# **DOS(E_F)**: 1.688 states/eV per cell
# **Symmetry**: C2/m
# **Mass density**: 6.62 g/cm³
# **Calculated total energy**: -69.09 eV per cell
# **Crystal system**: monoclinic